(1)
A plane-wave DFT calculation with PBE was carried out for an optimized crystal structure of TbScGaRu.

Values from the calculation:
Crystal system = cubic
DFT total energy = -6.30 eV/atom
Formation enthalpy at 0 K = -482 meV/atom
ρ = 7.93 g cm⁻³
Total magnetic moment = 0.00 Bohr magnetons per cell

Cell: 4.805 4.805 4.805 Å, 60.00 60.00 60.00°
Positions (direct):
Sc 0.500 0.500 0.500
Ru 0.750 0.750 0.750
Tb 0.000 0.000 0.000
Ga 0.250 0.250 0.250

(2)
A plane-wave DFT calculation with PBE was carried out for an optimized crystal structure of Th2ScGa3Ru4.

Values from the calculation:
Crystal system = tetragonal
DFT total energy = -7.22 eV/atom
Formation enthalpy at 0 K = -483 meV/atom
ρ = 9.60 g cm⁻³
Total magnetic moment = 0.00 Bohr magnetons per cell

Cell: 4.346 4.346 10.280 Å, 90.00 90.00 90.00°
Positions (direct):
Th 0.500 0.000 0.216
Th 0.000 0.500 0.784
Sc 0.500 0.500 0.500
Ga 0.000 0.000 0.500
Ga 0.500 0.000 0.882
Ga 0.000 0.500 0.118
Ru 0.500 0.500 0.000
Ru 0.000 0.000 0.000
Ru 0.500 0.000 0.641
Ru 0.000 0.500 0.359

(3)
A plane-wave DFT calculation with PBE was carried out for an optimized crystal structure of TmScGaRu.

Values from the calculation:
Crystal system = tetragonal
DFT total energy = -6.39 eV/atom
Formation enthalpy at 0 K = -617 meV/atom
ρ = 8.35 g cm⁻³
Total magnetic moment = 0.00 Bohr magnetons per cell
Excess energy over the best structure of this formula in the dataset = 0 meV per atom

Cell: 3.364 3.364 6.763 Å, 90.00 90.00 90.00°
Positions (direct):
Tm 0.000 0.000 0.874
Sc 0.000 0.000 0.342
Ga 0.500 0.500 0.585
Ru 0.500 0.500 0.126